No. 1
First-principles (PBE-GGA) data for a relaxed structure of CeGdC, as listed in Alexandria.

Energy of formation from the pure elements = 134.6 meV per atom
Polymorph energy (0 for the lowest one) = 310 meV per atom

Cell lengths 6.1752, 6.1752, 6.1752 Å; angles 90.00, 90.00, 90.00 degrees
Last column: nearest neighbours and their distance in Å.
Space group F-43m (No. 216)
Unique sites:
Ce: 0.0000 0.0000 0.0000 (multiplicity 4)  4 C 2.67
Gd: 0.0000 0.0000 0.5000 (multiplicity 4)  4 C 2.67
C: 0.2500 0.2500 0.7500 (multiplicity 4)  4 Gd 2.67, 4 Ce 2.67

---

No. 2
First-principles (PBE-GGA) data for a relaxed structure of Sm2ScPa2Rh5, as listed in Alexandria.

Energy of formation from the pure elements = -655.2 meV per atom

Cell lengths 10.8510, 10.8510, 3.5229 Å; angles 90.00, 90.00, 90.00 degrees
Last column: nearest neighbours and their distance in Å.
Space group P4/mbm (No. 127)
Unique sites:
Sm: 0.1690 0.3310 0.0000 (multiplicity 4)  1 Pa 2.93, 2 Rh 3.14
Sc: 0.0000 0.0000 0.0000 (multiplicity 2)  8 Rh 2.79
Pa: 0.1401 0.6401 0.0000 (multiplicity 4)  6 Rh 2.69-2.78, 1 Sm 2.93
Rh: 0.0000 0.5000 0.5000 (multiplicity 2)  4 Pa 2.78
Rh: 0.0582 0.8091 0.5000 (multiplicity 8)  2 Pa 2.69, 2 Sc 2.79